The following is a DFT calculation (PBE) of crystalline Nd3Bi2Sb2Rh4 at its relaxed geometry.

a b c (Å): 4.6709 4.6709 13.7572
angles (deg): 90.00 90.00 120.00
Fractional positions:
Nd: 0.0000 0.0000 0.7287
Nd: 0.0000 0.0000 0.0000
Nd: 0.0000 0.0000 0.2713
Bi: 0.6667 0.3333 0.4269
Bi: 0.3333 0.6667 0.5731
Sb: 0.6667 0.3333 0.8508
Sb: 0.3333 0.6667 0.1492
Rh: 0.6667 0.3333 0.1205
Rh: 0.3333 0.6667 0.8795
Rh: 0.6667 0.3333 0.6320
Rh: 0.3333 0.6667 0.3680

Output
* SG: No. 164
* calculated density: 9.6 Mg/m³

---

The following is a DFT calculation (PBE) of crystalline Nd2BiSb3Rh4 at its relaxed geometry.

a b c (Å): 4.5434 4.5434 10.7661
angles (deg): 90.00 90.00 90.00
Fractional positions:
Nd: 0.5000 0.0000 0.2375
Nd: 0.0000 0.5000 0.7625
Bi: 0.5000 0.5000 0.5000
Sb: 0.0000 0.0000 0.5000
Sb: 0.5000 0.0000 0.8713
Sb: 0.0000 0.5000 0.1287
Rh: 0.5000 0.5000 0.0000
Rh: 0.0000 0.0000 0.0000
Rh: 0.5000 0.0000 0.6345
Rh: 0.0000 0.5000 0.3655

Output
* SG: No. 115
* calculated density: 9.5 Mg/m³

---

Listing DFT total energy for the structures above in their given order: -67.59 -62.33 eV/f.u..
Listing ΔE_f (raw) for the structures above in their given order: -716 -714 meV/atom.